CaCrN2F: single point on PBEsol structure, meta-GGA SCAN.

Cell lengths 4.062, 4.460, 4.460 Å; angles 90.00, 90.00, 90.00 degrees
Fractional positions:
F 0.500 0.000 0.000
Ca 0.000 0.000 0.000
N 0.000 0.500 0.000
N 0.000 0.000 0.500
Cr 0.500 0.500 0.500

Calculated values
- Uncorrected formation energy: 272.1 meV per atom